The following is a GGA-PBEsol calculation of an optimized crystal structure of LiCaNO2, from the Alexandria database.

calculated total energy = -23.1 eV per cell
Fermi-level density of states = 0.48 states/eV per atom
formation energy without anion corrections = 0.012 eV/atom
symmetry = P4/mmm (123)
total moment = 0.800 μB/atom

Geometry as POSCAR:
```
LiCaNO2
1.0
4.369 0.000 0.000
0.000 4.369 0.000
0.000 0.000 4.627
Ca Li O N
1 1 2 1
direct
0.000 0.000 0.000
0.500 0.500 0.500
0.000 0.500 0.000
0.500 0.000 0.000
0.000 0.000 0.500
```

***

The following is a GGA-PBEsol calculation of an optimized crystal structure of Cd3Pb5, from the Alexandria database.

E above lowest polymorph = 0.0336 eV per atom
calculated total energy = -45.8 eV per cell
Fermi-level density of states = 0.44 states/eV per atom
symmetry = P6_3/mcm (193)
total moment = 0.000 μB/atom
energy of formation from the pure elements = 88.4 meV per atom

Geometry as POSCAR:
```
Cd3Pb5
1.0
-3.428 -3.990 -3.229
4.737 -6.863 3.451
-7.410 2.945 4.227
Cd Pb
6 10
direct
0.750 0.405 0.405
0.250 0.595 0.595
0.750 0.000 0.595
0.750 0.595 0.000
0.250 0.405 0.000
0.250 0.000 0.405
0.000 0.667 0.333
0.500 0.333 0.667
0.000 0.333 0.667
0.500 0.667 0.333
0.750 0.778 0.778
0.250 0.222 0.222
0.750 0.000 0.222
0.750 0.222 0.000
0.250 0.778 0.000
0.250 0.000 0.778
```

***

The following is a GGA-PBEsol calculation of an optimized crystal structure of MnNiP2S, from the Alexandria database.

calculated total energy = -28.5 eV per cell
Fermi-level density of states = 0.88 states/eV per atom
formation energy without anion corrections = 0.685 eV/atom
symmetry = P4/mmm (123)
total moment = 0.279 μB/atom

Geometry as POSCAR:
```
MnNiP2S
1.0
-3.623 -2.168 -0.437
1.370 -1.541 -3.710
1.799 -3.428 2.088
Ni S Mn P
1 1 1 2
direct
0.500 0.500 0.500
0.000 0.000 0.500
0.000 0.000 0.000
0.000 0.500 0.000
0.500 0.000 0.000
```

***

The following is a GGA-PBEsol calculation of an optimized crystal structure of CaRe2Au, from the Alexandria database.

calculated total energy = -32.0 eV per cell
Fermi-level density of states = 0.74 states/eV per atom
symmetry = P4mm (99)
total moment = 0.000 μB/atom
energy of formation from the pure elements = 174.9 meV per atom

Geometry as POSCAR:
```
CaRe2Au
1.0
3.061 0.000 0.000
0.000 3.061 0.000
0.000 0.000 7.737
Re Ca Au
2 1 1
direct
0.000 0.000 0.050
0.500 0.500 0.221
0.500 0.500 0.755
0.000 0.000 0.474
```

***

The following is a GGA-PBEsol calculation of an optimized crystal structure of Hf2Zn2Au, from the Alexandria database.

calculated total energy = -59.8 eV per cell
Fermi-level density of states = 0.57 states/eV per atom
symmetry = P4/mbm (127)
total moment = 0.000 μB/atom
energy of formation from the pure elements = -365.1 meV per atom

Geometry as POSCAR:
```
Hf2Zn2Au
1.0
3.907 0.000 0.000
0.000 6.613 0.000
0.000 0.000 6.613
Hf Zn Au
4 4 2
direct
0.500 0.170 0.670
0.500 0.670 0.830
0.500 0.830 0.330
0.500 0.330 0.170
0.000 0.370 0.870
0.000 0.870 0.630
0.000 0.630 0.130
0.000 0.130 0.370
0.000 0.000 0.000
0.000 0.500 0.500
```

***

The following is a GGA-PBEsol calculation of an optimized crystal structure of TaTc3Ag, from the Alexandria database.

calculated total energy = -40.0 eV per cell
Fermi-level density of states = 1.60 states/eV per atom
symmetry = Pm-3m (221)
total moment = 0.467 μB/atom
energy of formation from the pure elements = 1934.7 meV per atom

Geometry as POSCAR:
```
TaTc3Ag
1.0
4.652 0.000 0.000
0.000 4.652 0.000
0.000 0.000 4.652
Tc Ag Ta
3 1 1
direct
0.000 0.500 0.000
0.000 0.000 0.500
0.500 0.000 0.000
0.500 0.500 0.500
0.000 0.000 0.000
```

***

The following is a GGA-PBEsol calculation of an optimized crystal structure of Na2BiO3, from the Alexandria database.

calculated total energy = -123.2 eV per cell
Fermi-level density of states = 0.11 states/eV per atom
formation energy without anion corrections = -1.328 eV/atom
symmetry = Pnma (62)
total moment = 0.000 μB/atom

Geometry as POSCAR:
```
Na2BiO3
1.0
-1.291 1.434 4.331
5.071 -3.516 2.677
5.942 7.923 -0.852
Na Bi O
8 4 12
direct
0.750 0.881 0.253
0.750 0.381 0.247
0.750 0.877 0.580
0.750 0.377 0.920
0.250 0.623 0.080
0.250 0.123 0.420
0.250 0.619 0.753
0.250 0.119 0.747
0.750 0.863 0.909
0.750 0.363 0.591
0.250 0.637 0.409
0.250 0.137 0.091
0.750 0.606 0.428
0.750 0.106 0.072
0.750 0.657 0.064
0.750 0.157 0.436
0.750 0.623 0.751
0.750 0.123 0.749
0.250 0.877 0.251
0.250 0.377 0.249
0.250 0.843 0.564
0.250 0.343 0.936
0.250 0.894 0.928
0.250 0.394 0.572
```

***

The following is a GGA-PBEsol calculation of an optimized crystal structure of LiHf3Ti, from the Alexandria database.

calculated total energy = -36.9 eV per cell
Fermi-level density of states = 1.29 states/eV per atom
symmetry = Pm-3m (221)
total moment = 0.000 μB/atom
energy of formation from the pure elements = 981.2 meV per atom

Geometry as POSCAR:
```
LiHf3Ti
1.0
-1.037 -2.269 4.231
-3.723 -2.353 -2.174
3.031 -3.666 -1.223
Li Hf Ti
1 3 1
direct
0.500 0.500 0.500
0.000 0.500 0.000
0.000 0.000 0.500
0.500 0.000 0.000
0.000 0.000 0.000
```

***

The following is a GGA-PBEsol calculation of an optimized crystal structure of TlSiAu, from the Alexandria database.

calculated total energy = -11.6 eV per cell
Fermi-level density of states = 0.45 states/eV per atom
formation energy without anion corrections = 0.240 eV/atom
symmetry = Imm2 (44)
total moment = 0.000 μB/atom

Geometry as POSCAR:
```
TlSiAu
1.0
2.905 0.000 0.000
0.000 3.925 0.000
-1.453 -1.962 6.304
Au Si Tl
1 1 1
direct
0.108 0.108 0.215
0.555 0.555 0.111
0.337 0.337 0.674
```

***

The following is a GGA-PBEsol calculation of an optimized crystal structure of Cd3SCl, from the Alexandria database.

calculated total energy = -9.7 eV per cell
Fermi-level density of states = 0.31 states/eV per atom
formation energy without anion corrections = 0.049 eV/atom
symmetry = Pm-3m (221)
total moment = 0.000 μB/atom

Geometry as POSCAR:
```
Cd3SCl
1.0
-2.195 -4.126 -2.306
3.688 0.095 -3.680
2.956 -3.182 2.880
S Cl Cd
1 1 3
direct
0.000 0.000 0.000
0.500 0.500 0.500
0.000 0.500 0.000
0.000 0.000 0.500
0.500 0.000 0.000
```

***

The following is a GGA-PBEsol calculation of an optimized crystal structure of Ba3Sn2As4, from the Alexandria database.

calculated total energy = -170.6 eV per cell
symmetry = P2_1/c (14)
total moment = 0.000 μB/atom
energy of formation from the pure elements = -805.2 meV per atom

Geometry as POSCAR:
```
Ba3Sn2As4
1.0
-6.475 0.114 -4.558
3.612 -7.178 -0.032
-10.984 -5.595 15.465
Ba Sn As
12 8 16
direct
0.008 0.212 0.683
0.492 0.788 0.183
0.992 0.788 0.317
0.508 0.212 0.817
0.993 0.738 0.561
0.507 0.262 0.061
0.007 0.262 0.439
0.493 0.738 0.939
0.512 0.259 0.564
0.988 0.741 0.064
0.488 0.741 0.436
0.012 0.259 0.936
0.525 0.209 0.377
0.975 0.791 0.877
0.475 0.791 0.623
0.025 0.209 0.123
0.400 0.315 0.258
0.900 0.315 0.242
0.600 0.685 0.742
0.100 0.685 0.758
0.252 0.501 0.564
0.248 0.499 0.064
0.748 0.499 0.436
0.752 0.501 0.936
0.752 0.001 0.553
0.748 0.999 0.053
0.248 0.999 0.447
0.252 0.001 0.947
0.785 0.968 0.817
0.715 0.032 0.317
0.215 0.032 0.183
0.285 0.968 0.683
0.716 0.514 0.199
0.216 0.514 0.301
0.284 0.486 0.801
0.784 0.486 0.699
```

***

The following is a GGA-PBEsol calculation of an optimized crystal structure of ErVB4, from the Alexandria database.

calculated total energy = -189.7 eV per cell
Fermi-level density of states = 0.17 states/eV per atom
symmetry = Pbam (55)
total moment = 0.000 μB/atom
energy of formation from the pure elements = -801.3 meV per atom

Geometry as POSCAR:
```
ErVB4
1.0
-2.011 2.569 -1.003
1.029 -1.430 -5.727
-9.153 -7.113 0.131
Er V B
4 4 16
direct
0.500 0.124 0.849
0.500 0.876 0.151
0.500 0.624 0.651
0.500 0.376 0.349
0.500 0.128 0.583
0.500 0.872 0.417
0.500 0.628 0.917
0.500 0.372 0.083
0.000 0.287 0.686
0.000 0.713 0.314
0.000 0.787 0.814
0.000 0.213 0.186
0.000 0.365 0.532
0.000 0.635 0.468
0.000 0.865 0.968
0.000 0.135 0.032
0.000 0.023 0.307
0.000 0.977 0.693
0.000 0.523 0.193
0.000 0.477 0.807
0.000 0.115 0.452
0.000 0.885 0.548
0.000 0.615 0.048
0.000 0.385 0.952
```

***

The following is a GGA-PBEsol calculation of an optimized crystal structure of Sc3NiF, from the Alexandria database.

calculated total energy = -29.5 eV per cell
Fermi-level density of states = 0.73 states/eV per atom
formation energy without anion corrections = -0.321 eV/atom
symmetry = Pm-3m (221)
total moment = 0.000 μB/atom

Geometry as POSCAR:
```
Sc3NiF
1.0
-2.722 -0.493 3.938
0.207 -4.787 -0.456
3.964 -0.088 2.729
Sc Ni F
3 1 1
direct
0.000 0.500 0.000
0.000 0.000 0.500
0.500 0.000 0.000
0.000 0.000 0.000
0.500 0.500 0.500
```

***

The following is a GGA-PBEsol calculation of an optimized crystal structure of EuIn2, from the Alexandria database.

calculated total energy = -36.3 eV per cell
Fermi-level density of states = 3.51 states/eV per atom
symmetry = P6_3/mmc (194)
total moment = 2.348 μB/atom
energy of formation from the pure elements = -546.1 meV per atom

Geometry as POSCAR:
```
EuIn2
1.0
4.927 0.000 0.000
-2.464 4.267 0.000
0.000 0.000 7.575
Eu In
2 4
direct
0.000 0.000 0.250
0.000 0.000 0.750
0.333 0.667 0.042
0.667 0.333 0.542
0.667 0.333 0.958
0.333 0.667 0.458
```

***

The following is a GGA-PBEsol calculation of an optimized crystal structure of RbCdRh3, from the Alexandria database.

E above lowest polymorph = 0.6706 eV per atom
calculated total energy = -15.7 eV per cell
Fermi-level density of states = 1.43 states/eV per atom
symmetry = Pm-3m (221)
total moment = 0.005 μB/atom
energy of formation from the pure elements = 2187.1 meV per atom

Geometry as POSCAR:
```
RbCdRh3
1.0
4.694 0.000 0.000
0.000 4.694 0.000
0.000 0.000 4.694
Rh Rb Cd
3 1 1
direct
0.000 0.500 0.000
0.000 0.000 0.500
0.500 0.000 0.000
0.000 0.000 0.000
0.500 0.500 0.500
```

***

The following is a GGA-PBEsol calculation of an optimized crystal structure of SrPHO2, from the Alexandria database.

calculated total energy = -17.1 eV per cell
Fermi-level density of states = 0.94 states/eV per atom
symmetry = P4/mmm (123)
total moment = 1.172 μB/atom

Geometry as POSCAR:
```
SrPHO2
1.0
4.665 0.000 0.000
0.000 4.665 0.000
0.000 0.000 6.582
Sr H O P
1 1 2 1
direct
0.000 0.000 0.000
0.500 0.500 0.500
0.000 0.500 0.000
0.500 0.000 0.000
0.000 0.000 0.500
```

***

The following is a GGA-PBEsol calculation of an optimized crystal structure of ZrAl2Tc2, from the Alexandria database.

calculated total energy = -82.7 eV per cell
Fermi-level density of states = 0.94 states/eV per atom
symmetry = P4/mbm (127)
total moment = 0.000 μB/atom
energy of formation from the pure elements = -307.0 meV per atom

Geometry as POSCAR:
```
ZrAl2Tc2
1.0
-1.996 -0.032 2.406
3.741 -5.139 3.036
3.923 4.818 3.319
Tc Zr Al
4 2 4
direct
0.500 0.167 0.667
0.500 0.667 0.833
0.500 0.833 0.333
0.500 0.333 0.167
0.000 0.000 0.000
0.000 0.500 0.500
0.000 0.373 0.873
0.000 0.873 0.627
0.000 0.627 0.127
0.000 0.127 0.373
```

***

The following is a GGA-PBEsol calculation of an optimized crystal structure of Cu2TcPb, from the Alexandria database.

calculated total energy = -21.8 eV per cell
Fermi-level density of states = 0.57 states/eV per atom
symmetry = Cmmm (65)
total moment = 0.000 μB/atom
energy of formation from the pure elements = 542.8 meV per atom

Geometry as POSCAR:
```
Cu2TcPb
1.0
-0.539 -1.408 2.443
-3.713 -2.167 -2.063
3.981 -2.557 -0.590
Cu Pb Tc
2 1 1
direct
0.000 0.500 0.000
0.000 0.000 0.500
0.500 0.000 0.000
0.500 0.500 0.500
```

***

The following is a GGA-PBEsol calculation of an optimized crystal structure of Li2V4O5F8, from the Alexandria database.

calculated total energy = -135.1 eV per cell
Fermi-level density of states = 0.50 states/eV per atom
formation energy without anion corrections = -2.682 eV/atom
symmetry = C2/m (12)
total moment = 0.211 μB/atom

Geometry as POSCAR:
```
Li2V4O5F8
1.0
3.674 0.000 0.000
-1.837 6.052 0.019
0.000 -1.913 9.884
Li V O F
2 4 5 8
direct
0.577 0.155 0.628
0.423 0.845 0.372
0.646 0.291 0.997
0.724 0.448 0.390
0.276 0.552 0.610
0.354 0.709 0.003
0.768 0.535 0.590
0.817 0.635 0.993
0.183 0.365 0.007
0.232 0.465 0.410
0.500 0.000 0.000
0.620 0.240 0.816
0.575 0.150 0.412
0.124 0.247 0.624
0.680 0.360 0.200
0.320 0.640 0.800
0.876 0.753 0.376
0.425 0.850 0.588
0.380 0.760 0.184
```

***

The following is a GGA-PBEsol calculation of an optimized crystal structure of KScSe3, from the Alexandria database.

calculated total energy = -24.3 eV per cell
Fermi-level density of states = 1.26 states/eV per atom
formation energy without anion corrections = -0.997 eV/atom
symmetry = Pm-3m (221)
total moment = 0.000 μB/atom

Geometry as POSCAR:
```
KScSe3
1.0
5.173 0.000 0.000
0.000 5.173 0.000
0.000 0.000 5.173
Sc K Se
1 1 3
direct
0.000 0.000 0.000
0.500 0.500 0.500
0.000 0.500 0.000
0.000 0.000 0.500
0.500 0.000 0.000
```